Compound: YW3O
Source: Alexandria via LeMat-Bulk
Functional: PBE+U
Structure: relaxed

Lattice parameters (Å, degrees): 4.416 4.416 4.416 90.00 90.00 90.00
Fractional coordinates of all 5 atoms:
Y: 0.000 0.000 0.000
W: 0.000 0.500 0.500
W: 0.500 0.000 0.500
W: 0.500 0.500 0.000
O: 0.500 0.500 0.500

Computed properties:
SG   Pm-3m (221)
Electronic total energy   -6.00 eV/atom
Energy above the most stable polymorph in this dataset   0.0 meV/atom
M_tot   3.86 μB/f.u.